Record 1
A geometry-optimized NiTeC structure, computed with PBE.

```
NiTeC
1.0
3.7981 -2.2070 0.0000
3.7981 2.2070 0.0000
-1.0434 0.0000 3.4720
Ni Te C
1 1 1
Direct
0.0000 0.0000 0.0000 Ni
0.3214 0.3214 0.8954 Te
0.0364 0.0364 0.5230 C
```

Calculated values
* ΔE_f (raw): 0.8546 eV/atom
* mass density: 5.66 g/cm³
* ΔE to the lowest computed polymorph: 434 meV/atom
* E: -0.3818 Ry/atom

---

Record 2
A geometry-optimized NiTeC structure, computed with PBE.

```
NiTeC
1.0
3.8134 0.0000 0.0000
-0.9742 4.9668 0.0000
-0.9310 -2.0064 5.5007
Ni Te C
2 2 2
Direct
0.0000 0.0000 0.0000 Ni
0.4506 0.6937 0.0567 Ni
0.3984 0.8354 0.6689 Te
0.6059 0.1900 0.3658 Te
0.0167 0.3699 0.0042 C
0.9018 0.5997 0.0192 C
```

Calculated values
* ΔE_f (raw): 0.4413 eV/atom
* mass density: 6.32 g/cm³
* ΔE to the lowest computed polymorph: 21 meV/atom
* E: -0.4122 Ry/atom

---

Record 3
A geometry-optimized NiTeC structure, computed with PBE.

```
NiTeC
1.0
2.6629 -2.5309 0.0000
2.6629 2.5309 0.0000
-1.6229 0.0000 8.2117
Ni Te C
2 2 2
Direct
0.2491 0.7509 0.0000 Ni
0.7509 0.2491 0.0000 Ni
0.1133 0.1133 0.4294 Te
0.6801 0.6801 0.7781 Te
0.1225 0.1225 0.1866 C
0.2969 0.2969 0.0880 C
```

Calculated values
* ΔE_f (raw): 0.4363 eV/atom
* mass density: 5.95 g/cm³
* ΔE to the lowest computed polymorph: 16 meV/atom
* E: -0.4125 Ry/atom

---

Record 4
A geometry-optimized NiTeC structure, computed with PBE.

```
NiTeC
1.0
4.4245 0.0000 0.0000
0.2559 4.6627 0.0000
1.4260 1.6544 4.9766
Ni Te C
2 2 2
Direct
0.0000 0.0000 0.0000 Ni
0.3162 0.2994 0.5688 Ni
0.4629 0.2228 0.1012 Te
0.8494 0.5639 0.4086 Te
0.2968 0.8739 0.7506 C
0.4485 0.6191 0.7341 C
```

Calculated values
* ΔE_f (raw): 0.5150 eV/atom
* mass density: 6.41 g/cm³
* ΔE to the lowest computed polymorph: 94 meV/atom
* E: -0.4067 Ry/atom

---

Record 5
A geometry-optimized Ni3TeC structure, computed with PBE.

```
Ni3TeC
1.0
4.6229 0.0000 0.0000
0.0000 4.6229 0.0000
0.0000 0.0000 4.6229
Ni Te C
3 1 1
Direct
0.0000 0.0000 0.5000 Ni
0.0000 0.5000 0.0000 Ni
0.5000 0.0000 0.0000 Ni
0.0000 0.0000 0.0000 Te
0.5000 0.5000 0.5000 C
```

Calculated values
* ΔE_f (raw): 2.0513 eV/atom
* mass density: 5.31 g/cm³
* ΔE to the lowest computed polymorph: 1827 meV/atom
* E: -0.2860 Ry/atom

---

Record 6
A geometry-optimized NiTeC3 structure, computed with PBE.

```
NiTeC3
1.0
4.1260 0.0000 0.0000
0.0000 4.1260 0.0000
0.0000 0.0000 4.1260
Ni Te C
1 1 3
Direct
0.0000 0.0000 0.0000 Ni
0.5000 0.5000 0.5000 Te
0.0000 0.5000 0.5000 C
0.5000 0.0000 0.5000 C
0.5000 0.5000 0.0000 C
```

Calculated values
* ΔE_f (raw): 3.1752 eV/atom
* mass density: 5.26 g/cm³
* ΔE to the lowest computed polymorph: 838 meV/atom
* E: -0.3046 Ry/atom

---

Record 7
A geometry-optimized NiTeC structure, computed with PBE.

```
NiTeC
1.0
2.6663 -1.5888 0.0000
2.6663 1.5888 0.0000
-1.7925 0.0000 5.6229
Ni Te C
1 1 1
Direct
0.0000 0.0000 0.0000 Ni
0.1731 0.1731 0.4911 Te
0.3016 0.3016 0.8927 C
```

Calculated values
* ΔE_f (raw): 0.8228 eV/atom
* mass density: 6.91 g/cm³
* ΔE to the lowest computed polymorph: 402 meV/atom
* E: -0.3841 Ry/atom

---

Record 8
A geometry-optimized NiTe3C structure, computed with PBE.

```
NiTe3C
1.0
4.7117 0.0000 0.0000
0.0000 4.7117 0.0000
0.0000 0.0000 4.7117
Ni Te C
1 3 1
Direct
0.0000 0.0000 0.0000 Ni
0.0000 0.5000 0.5000 Te
0.5000 0.0000 0.5000 Te
0.5000 0.5000 0.0000 Te
0.5000 0.5000 0.5000 C
```

Calculated values
* ΔE_f (raw): 1.2622 eV/atom
* mass density: 7.20 g/cm³
* ΔE to the lowest computed polymorph: 0 meV/atom
* E: -0.2663 Ry/atom

---

Record 9
A geometry-optimized Ni3TeC structure, computed with PBE.

```
Ni3TeC
1.0
3.9458 0.0000 0.0000
0.0000 3.9458 0.0000
0.0000 0.0000 3.9458
Ni Te C
3 1 1
Direct
0.0000 0.0000 0.5000 Ni
0.0000 0.5000 0.0000 Ni
0.5000 0.0000 0.0000 Ni
0.5000 0.5000 0.5000 Te
0.0000 0.0000 0.0000 C
```

Calculated values
* ΔE_f (raw): 0.2239 eV/atom
* mass density: 8.53 g/cm³
* ΔE to the lowest computed polymorph: 0 meV/atom
* E: -0.4203 Ry/atom

---

Record 10
A geometry-optimized NiTeC structure, computed with PBE.

```
NiTeC
1.0
-1.5154 2.1458 4.5998
1.5154 -2.1458 4.5998
1.5154 2.1458 -4.5998
Ni Te C
1 1 1
Direct
0.0000 0.0000 0.0000 Ni
0.3394 0.8394 0.5000 Te
0.1047 0.6047 0.5000 C
```

Calculated values
* ΔE_f (raw): 0.8364 eV/atom
* mass density: 5.50 g/cm³
* ΔE to the lowest computed polymorph: 416 meV/atom
* E: -0.3831 Ry/atom

---

Record 11
A geometry-optimized NiTeC3 structure, computed with PBE.

```
NiTeC3
1.0
3.8968 0.0000 0.0000
0.0000 3.8968 0.0000
0.0000 0.0000 3.8968
Ni Te C
1 1 3
Direct
0.0000 0.0000 0.0000 Ni
0.5000 0.5000 0.5000 Te
0.0000 0.0000 0.5000 C
0.0000 0.5000 0.0000 C
0.5000 0.0000 0.0000 C
```

Calculated values
* ΔE_f (raw): 2.3368 eV/atom
* mass density: 6.24 g/cm³
* ΔE to the lowest computed polymorph: 0 meV/atom
* E: -0.3662 Ry/atom

---

Record 12
A geometry-optimized NiTeC structure, computed with PBE.

```
NiTeC
1.0
2.3866 -1.8054 0.0000
2.3866 1.8054 0.0000
-2.0746 0.0000 5.4371
Ni Te C
1 1 1
Direct
0.0000 0.0000 0.0000 Ni
0.8003 0.8003 0.5026 Te
0.6493 0.6493 0.0776 C
```

Calculated values
* ΔE_f (raw): 0.8265 eV/atom
* mass density: 7.03 g/cm³
* ΔE to the lowest computed polymorph: 406 meV/atom
* E: -0.3838 Ry/atom

---

Repeat the ninth record exactly.
A geometry-optimized Ni3TeC structure, computed with PBE.

```
Ni3TeC
1.0
3.9458 0.0000 0.0000
0.0000 3.9458 0.0000
0.0000 0.0000 3.9458
Ni Te C
3 1 1
Direct
0.0000 0.0000 0.5000 Ni
0.0000 0.5000 0.0000 Ni
0.5000 0.0000 0.0000 Ni
0.5000 0.5000 0.5000 Te
0.0000 0.0000 0.0000 C
```

Calculated values
* ΔE_f (raw): 0.2239 eV/atom
* mass density: 8.53 g/cm³
* ΔE to the lowest computed polymorph: 0 meV/atom
* E: -0.4203 Ry/atom

---

- Which value of E does entry 7 give?
  -0.3841 Ry/atom

---

Repeat the sixth record exactly.
A geometry-optimized NiTeC3 structure, computed with PBE.

```
NiTeC3
1.0
4.1260 0.0000 0.0000
0.0000 4.1260 0.0000
0.0000 0.0000 4.1260
Ni Te C
1 1 3
Direct
0.0000 0.0000 0.0000 Ni
0.5000 0.5000 0.5000 Te
0.0000 0.5000 0.5000 C
0.5000 0.0000 0.5000 C
0.5000 0.5000 0.0000 C
```

Calculated values
* ΔE_f (raw): 3.1752 eV/atom
* mass density: 5.26 g/cm³
* ΔE to the lowest computed polymorph: 838 meV/atom
* E: -0.3046 Ry/atom